Material: LaNiP2Ru
Method: DFT, GGA-PBE
State: relaxed

POSCAR file:
```
LaNiP2Ru
1.0
-1.8289 -1.9350 -2.7685
0.3872 -3.2476 2.0141
-4.3543 3.6196 3.0111
Ru Ni La P
1 1 1 2
direct
0.2500 0.7500 0.5000 Ru
0.7500 0.2500 0.5000 Ni
0.0000 0.0000 0.0000 La
0.3609 0.3609 0.7218 P
0.6391 0.6391 0.2782 P
```

Summary:
Spin magnetization in μB per formula unit: 0.0
Energy of formation from the pure elements in eV per atom: -0.96
Calculated total energy in eV per cell: -35.61
Mass density in g cm⁻³: 6.99
ΔE to the lowest computed polymorph in meV per atom: 0

=====

Material: TlGaSb2
Method: DFT, GGA-PBE
State: relaxed

POSCAR file:
```
TlGaSb2
1.0
6.5056 0.0000 0.0000
0.0000 6.5056 0.0000
3.2528 3.2528 6.4476
Ga Tl Sb
2 2 4
direct
0.5000 0.5000 0.0000 Ga
0.2500 0.7500 0.5000 Ga
0.0000 0.0000 0.0000 Tl
0.7500 0.2500 0.5000 Tl
0.1543 0.6250 0.2500 Sb
0.5957 0.1250 0.2500 Sb
0.3750 0.4043 0.7500 Sb
0.8750 0.8457 0.7500 Sb
```

Summary:
Spin magnetization in μB per formula unit: 0.0
Calculated total energy in eV per cell: -27.35
Formation energy without anion corrections in eV/atom: -0.010
Mass density in g cm⁻³: 6.30
ΔE to the lowest computed polymorph in meV per atom: 0